The following is a DFT calculation (PBE) of LiMnBiCl6 after structural relaxation.

Computed properties:
calculated density: 3.51 g/cm³
DFT total energy: -4.071 eV/atom
total magnetic moment: 10.0 μB per cell
formation energy from raw total energies: -1.18 eV/atom

Unit cell a=6.6612 b=6.6612 c=11.9059 alpha=90.00 beta=90.00 gamma=120.00
Atoms (fractional coordinates):
Li 0.0000 0.0000 0.0000
Li 0.0000 0.0000 0.5000
Mn 0.3333 0.6667 0.2500
Mn 0.6667 0.3333 0.7500
Bi 0.3333 0.6667 0.7500
Bi 0.6667 0.3333 0.2500
Cl 0.0221 0.3511 0.1266
Cl 0.0221 0.6710 0.3734
Cl 0.3290 0.3511 0.3734
Cl 0.3290 0.9779 0.1266
Cl 0.3511 0.0221 0.6266
Cl 0.3511 0.3290 0.8734
Cl 0.6489 0.6710 0.1266
Cl 0.6489 0.9779 0.3734
Cl 0.6710 0.0221 0.8734
Cl 0.6710 0.6489 0.6266
Cl 0.9779 0.3290 0.6266
Cl 0.9779 0.6489 0.8734